Entry w
Entry from Alexandria via LeMat-Bulk: a relaxed NdHo3Ga4 crystal (GGA-PBE).

Output
**Calculated density**: 7.6 g/cm3
**M_tot**: 0.00 μB per cell
**D(E_F)**: 9.32 states/eV per cell

Cell lengths 3.5236, 6.7871, 16.8500 Å; angles 90.00, 90.00, 90.00 degrees
Space group Immm (No. 71)
Unique sites:
Nd  0.0000  0.0000  0.0000 x2
Ho  0.0000  0.0000  0.5000 x2
Ho  0.0000  0.5000  0.2958 x4
Ga  0.0000  0.3095  0.1316 x8

---

Entry x
Entry from Alexandria via LeMat-Bulk: a relaxed NdHo3Ga4 crystal (GGA-PBE).

Output
**Calculated density**: 8.2 g/cm3
**M_tot**: 0.00 μB per cell
**D(E_F)**: 3.12 states/eV per cell

Cell lengths 5.0790, 5.0790, 7.1792 Å; angles 90.00, 90.00, 90.00 degrees
Space group P4/mmm (No. 123)
Unique sites:
Nd  0.0000  0.0000  0.0000 x1
Ho  0.0000  0.0000  0.5000 x1
Ho  0.5000  0.5000  0.0000 x1
Ho  0.5000  0.5000  0.5000 x1
Ga  0.0000  0.5000  0.2584 x4

---

How do the energies compare? Relative to the most stable structure, in meV/atom: entry w 124; entry x 0.

---

Entry w
Entry from Alexandria via LeMat-Bulk: a relaxed Nd3HoGa4 crystal (GGA-PBE).

Output
**Calculated density**: 7.4 g/cm3
**M_tot**: 0.00 μB per cell
**D(E_F)**: 3.52 states/eV per cell

Cell lengths 3.6578, 3.6578, 14.6839 Å; angles 90.00, 90.00, 90.00 degrees
Space group P4/mmm (No. 123)
Unique sites:
Nd  0.0000  0.0000  0.0000 x1
Nd  0.0000  0.0000  0.2556 x2
Ho  0.0000  0.0000  0.5000 x1
Ga  0.5000  0.5000  0.1278 x2
Ga  0.5000  0.5000  0.3865 x2

---

Entry x
Entry from Alexandria via LeMat-Bulk: a relaxed Nd3HoGa4 crystal (GGA-PBE).

Output
**Calculated density**: 6.7 g/cm3
**M_tot**: 0.00 μB per cell
**D(E_F)**: 12.72 states/eV per cell

Cell lengths 3.7568, 6.8370, 16.9427 Å; angles 90.00, 90.00, 90.00 degrees
Space group Immm (No. 71)
Unique sites:
Nd  0.0000  0.0000  0.0000 x2
Nd  0.0000  0.5000  0.2021 x4
Ho  0.0000  0.0000  0.5000 x2
Ga  0.0000  0.3065  0.3725 x8

---

How do the energies compare? Relative to the most stable structure, in meV/atom: entry w 0; entry x 133.

---

Entry w
Entry from Alexandria via LeMat-Bulk: a relaxed Nd2HoGa crystal (GGA-PBE).

Output
**Calculated density**: 7.8 g/cm3
**M_tot**: 0.00 μB per cell
**D(E_F)**: 5.91 states/eV per cell

Cell lengths 4.8019, 4.8019, 4.8477 Å; angles 90.00, 90.00, 90.00 degrees
Space group P4/mmm (No. 123)
Unique sites:
Nd  0.0000  0.5000  0.0000 x2
Ho  0.0000  0.0000  0.5000 x1
Ga  0.5000  0.5000  0.5000 x1

---

Entry x
Entry from Alexandria via LeMat-Bulk: a relaxed Nd2HoGa crystal (GGA-PBE).

Output
**Calculated density**: 7.0 g/cm3
**M_tot**: 2.07 μB per cell
**D(E_F)**: 15.37 states/eV per cell

Cell lengths 3.7090, 3.7090, 31.2741 Å; angles 90.00, 90.00, 120.00 degrees
Space group R3m (No. 160, hexagonal axes)
Unique sites:
Nd  0.0000  0.0000  0.0000 x3
Nd  0.0000  0.0000  0.1894 x3
Ho  0.0000  0.0000  0.4282 x3
Ga  0.0000  0.0000  0.5944 x3

---

How do the energies compare? Relative to the most stable structure, in meV/atom: entry w 0; entry x 87.

---

Entry w
Entry from Alexandria via LeMat-Bulk: a relaxed Nd2HoGa crystal (GGA-PBE).

Output
**Calculated density**: 7.3 g/cm3
**M_tot**: 0.00 μB per cell
**D(E_F)**: 10.14 states/eV per cell

Cell lengths 3.6987, 9.9660, 6.6925 Å; angles 90.00, 106.03, 90.00 degrees
Space group P2_1/m (No. 11)
Unique sites:
Nd  0.1353  0.0490  0.2702 x4
Ho  0.4422  0.2500  0.8859 x2
Ga  0.2425  0.7500  0.4826 x2

---

Entry x
Entry from Alexandria via LeMat-Bulk: a relaxed Nd2HoGa crystal (GGA-PBE).

Output
**Calculated density**: 6.9 g/cm3
**M_tot**: 1.71 μB per cell
**D(E_F)**: 17.07 states/eV per cell

Cell lengths 3.5587, 3.5587, 34.6327 Å; angles 90.00, 90.00, 120.00 degrees
Space group R-3m (No. 166, hexagonal axes)
Unique sites:
Nd  0.0000  0.0000  0.1010 x6
Ho  0.0000  0.0000  0.0000 x3
Ga  0.0000  0.0000  0.5000 x3

---

How do the energies compare? Relative to the most stable structure, in meV/atom: entry w 0; entry x 289.

---

Entry w
Entry from Alexandria via LeMat-Bulk: a relaxed Nd2HoGa crystal (GGA-PBE).

Output
**Calculated density**: 7.7 g/cm3
**M_tot**: 0.03 μB per cell
**D(E_F)**: 28.21 states/eV per cell

Cell lengths 7.6784, 7.6784, 7.6784 Å; angles 90.00, 90.00, 90.00 degrees
Space group Fm-3m (No. 225)
Unique sites:
Nd  0.2500  0.2500  0.2500 x8
Ho  0.0000  0.0000  0.0000 x4
Ga  0.0000  0.0000  0.5000 x4

---

Entry x
Entry from Alexandria via LeMat-Bulk: a relaxed Nd2HoGa crystal (GGA-PBE).

Output
**Calculated density**: 7.4 g/cm3
**M_tot**: 0.00 μB per cell
**D(E_F)**: 4.44 states/eV per cell

Cell lengths 3.6079, 3.6079, 9.0547 Å; angles 90.00, 90.00, 90.00 degrees
Space group P4/mmm (No. 123)
Unique sites:
Nd  0.0000  0.0000  0.2125 x2
Ho  0.5000  0.5000  0.5000 x1
Ga  0.5000  0.5000  0.0000 x1

---

How do the energies compare? Relative to the most stable structure, in meV/atom: entry w 130; entry x 0.

---

Entry w
Entry from Alexandria via LeMat-Bulk: a relaxed NdHo3Ga2 crystal (GGA-PBE).

Output
**Calculated density**: 8.3 g/cm3
**M_tot**: 0.00 μB per cell
**D(E_F)**: 11.09 states/eV per cell

Cell lengths 4.9500, 9.5555, 6.6230 Å; angles 90.00, 90.00, 90.00 degrees
Space group Pmc2_1 (No. 26)
Unique sites:
Nd  0.0000  0.0496  0.0000 x2
Ho  0.0000  0.3251  0.6273 x2
Ho  0.5000  0.1872  0.2900 x2
Ho  0.5000  0.4464  0.9222 x2
Ga  0.0000  0.3633  0.1699 x2
Ga  0.5000  0.1423  0.7448 x2

---

Entry x
Entry from Alexandria via LeMat-Bulk: a relaxed NdHo3Ga2 crystal (GGA-PBE).

Output
**Calculated density**: 8.0 g/cm3
**M_tot**: 0.00 μB per cell
**D(E_F)**: 20.46 states/eV per cell

Cell lengths 16.0506, 5.1109, 8.8471 Å; angles 90.00, 117.34, 90.00 degrees
Space group C2/m (No. 12)
Unique sites:
Nd  0.1300  0.0000  0.1889 x4
Ho  0.0635  0.0000  0.7166 x4
Ho  0.1210  0.5000  0.5102 x4
Ho  0.1878  0.5000  0.9907 x4
Ga  0.0120  0.5000  0.1502 x4
Ga  0.2250  0.0000  0.6141 x4

---

How do the energies compare? Relative to the most stable structure, in meV/atom: entry w 0; entry x 82.

---

Entry w
Entry from Alexandria via LeMat-Bulk: a relaxed NdHoGa2 crystal (GGA-PBE).

Output
**Calculated density**: 7.8 g/cm3
**M_tot**: 0.00 μB per cell
**D(E_F)**: 1.63 states/eV per cell

Cell lengths 3.6282, 3.6282, 7.2308 Å; angles 90.00, 90.00, 90.00 degrees
Space group P4/mmm (No. 123)
Unique sites:
Nd  0.0000  0.0000  0.0000 x1
Ho  0.0000  0.0000  0.5000 x1
Ga  0.5000  0.5000  0.2661 x2

---

Entry x
Entry from Alexandria via LeMat-Bulk: a relaxed NdHoGa2 crystal (GGA-PBE).

Output
**Calculated density**: 7.4 g/cm3
**M_tot**: 0.00 μB per cell
**D(E_F)**: 3.31 states/eV per cell

Cell lengths 4.4138, 4.1065, 5.9698 Å; angles 90.00, 111.67, 90.00 degrees
Space group Pm (No. 6)
Unique sites:
Nd  0.0000  0.0000  0.0000 x1
Ho  0.7229  0.5000  0.4428 x1
Ga  0.2833  0.0000  0.5632 x1
Ga  0.4300  0.5000  0.8606 x1

---

Entry y
Entry from Alexandria via LeMat-Bulk: a relaxed NdHoGa2 crystal (GGA-PBE).

Output
**Calculated density**: 7.1 g/cm3
**M_tot**: 0.00 μB per cell
**D(E_F)**: 6.83 states/eV per cell

Cell lengths 3.7159, 3.7159, 26.3633 Å; angles 90.00, 90.00, 120.00 degrees
Space group R-3m (No. 166, hexagonal axes)
Unique sites:
Nd  0.0000  0.0000  0.0000 x3
Ho  0.0000  0.0000  0.5000 x3
Ga  0.0000  0.0000  0.2472 x6

---

How do the energies compare? Relative to the most stable structure, in meV/atom: entry w 26; entry x 0; entry y 213.

---

Entry w
Entry from Alexandria via LeMat-Bulk: a relaxed Nd2HoGa2 crystal (GGA-PBE).

Output
**Calculated density**: 7.3 g/cm3
**M_tot**: 0.00 μB per cell
**D(E_F)**: 11.28 states/eV per cell

Cell lengths 4.6651, 6.5763, 8.7777 Å; angles 90.00, 90.00, 90.00 degrees
Space group Immm (No. 71)
Unique sites:
Nd  0.0000  0.0000  0.2000 x4
Ho  0.0000  0.5000  0.0000 x2
Ga  0.0000  0.2969  0.5000 x4

---

Entry x
Entry from Alexandria via LeMat-Bulk: a relaxed Nd2HoGa2 crystal (GGA-PBE).

Output
**Calculated density**: 7.3 g/cm3
**M_tot**: 0.00 μB per cell
**D(E_F)**: 15.42 states/eV per cell

Cell lengths 12.0742, 4.7079, 11.0408 Å; angles 90.00, 120.24, 90.00 degrees
Space group C2/m (No. 12)
Unique sites:
Nd  0.0229  0.0000  0.1858 x4
Nd  0.1897  0.0000  0.6010 x4
Ho  0.2058  0.5000  0.8570 x4
Ga  0.0420  0.5000  0.4108 x4
Ga  0.1255  0.5000  0.0739 x4

---

How do the energies compare? Relative to the most stable structure, in meV/atom: entry w 0; entry x 17.

---

Entry w
Entry from Alexandria via LeMat-Bulk: a relaxed NdHo2Ga6 crystal (GGA-PBE).

Output
**Calculated density**: 7.7 g/cm3
**M_tot**: 0.00 μB per cell
**D(E_F)**: 5.89 states/eV per cell

Cell lengths 7.3196, 7.3196, 4.1679 Å; angles 90.00, 90.00, 120.00 degrees
Space group P6/mmm (No. 191)
Unique sites:
Nd  0.0000  0.0000  0.0000 x1
Ho  0.3333  0.6667  0.0000 x2
Ga  0.0000  0.3348  0.5000 x6

---

Entry x
Entry from Alexandria via LeMat-Bulk: a relaxed NdHo2Ga6 crystal (GGA-PBE).

Output
**Calculated density**: 7.3 g/cm3
**M_tot**: 0.00 μB per cell
**D(E_F)**: 8.01 states/eV per cell

Cell lengths 4.3360, 7.1011, 13.1872 Å; angles 90.00, 90.00, 90.00 degrees
Space group Immm (No. 71)
Unique sites:
Nd  0.0000  0.0000  0.0000 x2
Ho  0.0000  0.5000  0.1263 x4
Ga  0.0000  0.1830  0.5000 x4
Ga  0.0000  0.3052  0.3151 x8

---

How do the energies compare? Relative to the most stable structure, in meV/atom: entry w 0; entry x 152.

---

Entry w
Entry from Alexandria via LeMat-Bulk: a relaxed NdHoGaPd crystal (GGA-PBE).

Output
**Calculated density**: 8.4 g/cm3
**M_tot**: 0.00 μB per cell
**D(E_F)**: 8.27 states/eV per cell

Cell lengths 4.4694, 3.8262, 11.2689 Å; angles 90.00, 90.00, 90.00 degrees
Space group Amm2 (No. 38)
Unique sites:
Nd  0.0000  0.0000  0.0000 x2
Ho  0.5000  0.0000  0.7142 x2
Ga  0.5000  0.0000  0.4252 x2
Pd  0.0000  0.0000  0.2766 x2

---

Entry x
Entry from Alexandria via LeMat-Bulk: a relaxed NdHoGaPd crystal (GGA-PBE).

Output
**Calculated density**: 8.6 g/cm3
**M_tot**: 0.00 μB per cell
**D(E_F)**: 14.44 states/eV per cell

Cell lengths 7.2136, 7.2136, 7.2136 Å; angles 90.00, 90.00, 90.00 degrees
Space group F-43m (No. 216)
Unique sites:
Nd  0.0000  0.0000  0.0000 x4
Ho  0.0000  0.0000  0.5000 x4
Ga  0.2500  0.2500  0.2500 x4
Pd  0.2500  0.2500  0.7500 x4

---

How do the energies compare? Relative to the most stable structure, in meV/atom: entry w 0; entry x 48.

---

Entry w
Entry from Alexandria via LeMat-Bulk: a relaxed NdHoGaRu crystal (GGA-PBE).

Output
**Calculated density**: 8.5 g/cm3
**M_tot**: 0.00 μB per cell
**D(E_F)**: 7.06 states/eV per cell

Cell lengths 4.3458, 4.0101, 10.7783 Å; angles 90.00, 90.00, 90.00 degrees
Space group Amm2 (No. 38)
Unique sites:
Nd  0.0000  0.0000  0.0000 x2
Ho  0.5000  0.0000  0.7155 x2
Ga  0.5000  0.0000  0.4166 x2
Ru  0.0000  0.0000  0.2839 x2

---

Entry x
Entry from Alexandria via LeMat-Bulk: a relaxed NdHoGaRu crystal (GGA-PBE).

Output
**Calculated density**: 9.0 g/cm3
**M_tot**: 0.00 μB per cell
**D(E_F)**: 9.82 states/eV per cell

Cell lengths 7.0848, 7.0848, 7.0848 Å; angles 90.00, 90.00, 90.00 degrees
Space group F-43m (No. 216)
Unique sites:
Nd  0.0000  0.0000  0.0000 x4
Ho  0.0000  0.0000  0.5000 x4
Ga  0.2500  0.2500  0.2500 x4
Ru  0.2500  0.2500  0.7500 x4

---

How do the energies compare? Relative to the most stable structure, in meV/atom: entry w 0; entry x 62.

---

Entry w
Entry from Alexandria via LeMat-Bulk: a relaxed HoGa2Ni4 crystal (GGA-PBE).

Output
**Calculated density**: 8.6 g/cm3
**M_tot**: 0.00 μB per cell
**D(E_F)**: 15.20 states/eV per cell

Cell lengths 4.0974, 4.0974, 21.4081 Å; angles 90.00, 90.00, 120.00 degrees
Space group R-3m (No. 166, hexagonal axes)
Unique sites:
Ho  0.0000  0.0000  0.0000 x3
Ga  0.0000  0.0000  0.2453 x6
Ni  0.0000  0.0000  0.1354 x6
Ni  0.0000  0.0000  0.4317 x6

---

Entry x
Entry from Alexandria via LeMat-Bulk: a relaxed HoGa2Ni4 crystal (GGA-PBE).

Output
**Calculated density**: 9.0 g/cm3
**M_tot**: 0.00 μB per cell
**D(E_F)**: 9.80 states/eV per cell

Cell lengths 7.2158, 7.2158, 3.8420 Å; angles 90.00, 90.00, 90.00 degrees
Space group P4_2/mnm (No. 136)
Unique sites:
Ho  0.0000  0.0000  0.0000 x2
Ga  0.2194  0.2194  0.5000 x4
Ni  0.0896  0.6490  0.5000 x8

---

How do the energies compare? Relative to the most stable structure, in meV/atom: entry w 65; entry x 0.